# SrCa3Se4 (PBE, relaxed)
data_SrCa3Se4
_symmetry_space_group_name_H-M 'C m m m'
_symmetry_Int_Tables_number 65
_symmetry_space_group_name_Hall '-C 2 2'
_cell_length_a 8.556
_cell_length_b 12.105
_cell_length_c 4.280
_cell_angle_alpha 90.00
_cell_angle_beta 90.00
_cell_angle_gamma 90.00
loop_
_atom_site_label
_atom_site_type_symbol
_atom_site_fract_x
_atom_site_fract_y
_atom_site_fract_z
Sr1 Sr 0.000 0.000 0.000
Ca1 Ca 0.000 0.500 0.000
Ca2 Ca 0.250 0.250 0.500
Se1 Se 0.000 0.254 0.000
Se2 Se 0.241 0.500 0.500
# - energy (eV per atom) = -4.732
# - spin magnetization (μB/cell) = 0.0
# - formation energy without anion corrections (eV per atom) = -2.029



# Sr2CaSe (PBE, relaxed)
data_Sr2CaSe
_symmetry_space_group_name_H-M 'C 1 m 1'
_symmetry_Int_Tables_number 8
_cell_length_a 13.730
_cell_length_b 3.998
_cell_length_c 6.934
_cell_angle_alpha 90.00
_cell_angle_beta 119.99
_cell_angle_gamma 90.00
loop_
_symmetry_equiv_pos_as_xyz
'x,y,z'
'x,-y,z'
'x+1/2,y+1/2,z'
'x+1/2,-y+1/2,z'
loop_
_atom_site_label
_atom_site_type_symbol
_atom_site_fract_x
_atom_site_fract_y
_atom_site_fract_z
Sr1 Sr 0.000 0.000 0.000
Sr2 Sr 0.178 0.000 0.691
Ca1 Ca 0.362 0.000 0.361
Se1 Se 0.193 0.500 0.057
# - energy (eV per atom) = -3.043
# - spin magnetization (μB/cell) = 0.0
# - formation energy without anion corrections (eV per atom) = -0.831



# SrCaSe2 (PBE, relaxed)
data_SrCaSe2
_symmetry_space_group_name_H-M 'P 63/m m c'
_symmetry_Int_Tables_number 194
_symmetry_space_group_name_Hall '-P 6c 2c'
_cell_length_a 4.2854
_cell_length_b 4.2854
_cell_length_c 14.5263
_cell_angle_alpha 90.00
_cell_angle_beta 90.00
_cell_angle_gamma 120.00
loop_
_atom_site_label
_atom_site_type_symbol
_atom_site_fract_x
_atom_site_fract_y
_atom_site_fract_z
Sr1 Sr 0.3333 0.6667 0.2500
Ca1 Ca 0.0000 0.0000 0.0000
Se1 Se 0.3333 0.6667 0.6167
# - energy (eV per atom) = -4.659
# - spin magnetization (μB/cell) = 0.0
# - formation energy without anion corrections (eV per atom) = -1.996
# - relative energy among the computed polymorphs (meV/atom) = 46



# Sr2CaSe (PBE, relaxed)
data_Sr2CaSe
_symmetry_space_group_name_H-M 'C 1 2/m 1'
_symmetry_Int_Tables_number 12
_cell_length_a 7.286
_cell_length_b 9.669
_cell_length_c 4.194
_cell_angle_alpha 90.00
_cell_angle_beta 90.17
_cell_angle_gamma 90.00
loop_
_symmetry_equiv_pos_as_xyz
'x,y,z'
'-x,-y,-z'
'-x,y,-z'
'x,-y,z'
'x+1/2,y+1/2,z'
'-x+1/2,-y+1/2,-z'
'-x+1/2,y+1/2,-z'
'x+1/2,-y+1/2,z'
loop_
_atom_site_label
_atom_site_type_symbol
_atom_site_fract_x
_atom_site_fract_y
_atom_site_fract_z
Sr1 Sr 0.250 0.250 0.000
Ca1 Ca 0.000 0.000 0.500
Se1 Se 0.000 0.500 0.500
# - energy (eV per atom) = -2.714
# - spin magnetization (μB/cell) = 0.0
# - formation energy without anion corrections (eV per atom) = -0.501



# SrCaSe2 (PBE, relaxed)
data_SrCaSe2
_symmetry_space_group_name_H-M 'F m -3 m'
_symmetry_Int_Tables_number 225
_symmetry_space_group_name_Hall '-F 4 2 3'
_cell_length_a 7.485
_cell_length_b 7.485
_cell_length_c 7.485
_cell_angle_alpha 90.00
_cell_angle_beta 90.00
_cell_angle_gamma 90.00
loop_
_atom_site_label
_atom_site_type_symbol
_atom_site_fract_x
_atom_site_fract_y
_atom_site_fract_z
Sr1 Sr 0.000 0.000 0.000
Ca1 Ca 0.000 0.000 0.500
Se1 Se 0.250 0.250 0.250
# - energy (eV per atom) = -4.395
# - spin magnetization (μB/cell) = 0.0
# - formation energy without anion corrections (eV per atom) = -1.732
# - relative energy among the computed polymorphs (meV/atom) = 310



# SrCa2Se3 (PBE, relaxed)
data_SrCa2Se3
_symmetry_space_group_name_H-M 'I m m m'
_symmetry_Int_Tables_number 71
_symmetry_space_group_name_Hall '-I 2 2'
_cell_length_a 4.292
_cell_length_b 6.100
_cell_length_c 12.888
_cell_angle_alpha 90.00
_cell_angle_beta 90.00
_cell_angle_gamma 90.00
loop_
_atom_site_label
_atom_site_type_symbol
_atom_site_fract_x
_atom_site_fract_y
_atom_site_fract_z
Sr1 Sr 0.000 0.000 0.000
Ca1 Ca 0.000 0.000 0.334
Se1 Se 0.000 0.500 0.000
Se2 Se 0.000 0.500 0.326
# - energy (eV per atom) = -4.720
# - spin magnetization (μB/cell) = 0.0
# - formation energy without anion corrections (eV per atom) = -2.031